Entry 1:
Below is a geometry-optimized LiLaPm2 structure, with properties calculated at the GGA-PBE level.

Cell lengths 3.580, 3.580, 12.023 Å; angles 90.00, 90.00, 120.00 degrees
Sites, in units of the cell vectors:
Li (0.667, 0.333, 0.524)
Pm (0.667, 0.333, 0.254)
Pm (0.333, 0.667, 0.759)
La (0.000, 0.000, 0.008)

Properties
Polymorph energy (0 for the lowest one) ... 71 meV per atom
Calculated formation energy ... 0.141 eV/atom
Total magnetic moment ... 0.0 μB/f.u.
Volume ... 33.359 A^3/atom


Entry 2:
Below is a geometry-optimized CePmGeSb structure, with properties calculated at the GGA-PBE level.

Cell lengths 5.323, 5.323, 5.323 Å; angles 60.00, 60.00, 60.00 degrees
Each line ends with the local moment (μB).
Sites, in units of the cell vectors:
Pm (0.500, 0.500, 0.500)  0.08
Sb (0.250, 0.250, 0.250)  -0.01
Ge (0.750, 0.750, 0.750)  -0.02
Ce (0.000, 0.000, 0.000)  0.63

Properties
Total magnetic moment ... 0.9 μB/f.u.
Volume ... 26.669 A^3/atom
Energy relative to the elements, uncorrected ... -0.67 eV/atom